Record 1
# Er2BiF11 (PBE, optimized geometry)
# Magnetization = 0.15 Bohr magnetons per cell
# Formation energy (no corrections) = -3.0882 eV per atom
data_Er2BiF11
_cell_length_a 7.917
_cell_length_b 10.208
_cell_length_c 10.883
_cell_angle_alpha 90.00
_cell_angle_beta 90.00
_cell_angle_gamma 90.00
_space_group_name_H-M_alt 'I b a m'
_space_group_IT_number 72
_space_group_name_Hall '-I 2 2c'
loop_
_atom_site_label
_atom_site_type_symbol
_atom_site_fract_x
_atom_site_fract_y
_atom_site_fract_z
Er1 Er 0.135 0.182 0.000
Bi1 Bi 0.000 0.500 0.250
F1 F 0.000 0.000 0.000
F2 F 0.095 0.333 0.151
F3 F 0.129 0.223 0.500
F4 F 0.211 0.436 0.359

Record 2
# Er2BiO4F (PBE, optimized geometry)
# Magnetization = 0.00 Bohr magnetons per cell
# Formation energy (no corrections) = -2.8133 eV per atom
data_Er2BiO4F
_cell_length_a 11.006
_cell_length_b 3.366
_cell_length_c 6.410
_cell_angle_alpha 90.00
_cell_angle_beta 111.51
_cell_angle_gamma 90.00
_space_group_name_H-M_alt 'C 1 2/m 1'
_space_group_IT_number 12
loop_
_space_group_symop_operation_xyz
'x,y,z'
'-x,-y,-z'
'-x,y,-z'
'x,-y,z'
'x+1/2,y+1/2,z'
'-x+1/2,-y+1/2,-z'
'-x+1/2,y+1/2,-z'
'x+1/2,-y+1/2,z'
loop_
_atom_site_label
_atom_site_type_symbol
_atom_site_fract_x
_atom_site_fract_y
_atom_site_fract_z
Er1 Er 0.194 0.000 0.198
Bi1 Bi 0.000 0.000 0.500
O1 O 0.140 0.500 0.432
O2 O 0.184 0.000 0.833
F1 F 0.000 0.500 0.000

Record 3
# ErBi2O4F (PBE, optimized geometry)
# Magnetization = 0.00 Bohr magnetons per cell
# Formation energy (no corrections) = -2.1967 eV per atom
data_ErBi2O4F
_cell_length_a 3.828
_cell_length_b 3.828
_cell_length_c 8.585
_cell_angle_alpha 90.00
_cell_angle_beta 90.00
_cell_angle_gamma 90.00
_space_group_name_H-M_alt 'P 4/m m m'
_space_group_IT_number 123
_space_group_name_Hall '-P 4 2'
loop_
_atom_site_label
_atom_site_type_symbol
_atom_site_fract_x
_atom_site_fract_y
_atom_site_fract_z
Er1 Er 0.000 0.000 0.000
Bi1 Bi 0.500 0.500 0.294
O1 O 0.000 0.500 0.160
F1 F 0.000 0.000 0.500

Record 4
# Er6FeBi2 (PBE, optimized geometry)
# Magnetization = 0.00 Bohr magnetons per cell
# Calculated formation energy = -0.421 eV/atom
data_Er6FeBi2
_cell_length_a 8.2615
_cell_length_b 8.2615
_cell_length_c 4.1330
_cell_angle_alpha 90.00
_cell_angle_beta 90.00
_cell_angle_gamma 120.00
_space_group_name_H-M_alt 'P -6 2 m'
_space_group_IT_number 189
_space_group_name_Hall 'P -6 -2'
loop_
_atom_site_label
_atom_site_type_symbol
_atom_site_fract_x
_atom_site_fract_y
_atom_site_fract_z
Er1 Er 0.0000 0.2295 0.0000
Er2 Er 0.0000 0.6122 0.5000
Fe1 Fe 0.0000 0.0000 0.5000
Bi1 Bi 0.3333 0.6667 0.0000

Record 5
# Er3FeBi (PBE, optimized geometry)
# Magnetization = 0.19 Bohr magnetons per cell
# Calculated formation energy = -0.187 eV/atom
# Excess energy over the best structure of this formula in the dataset = 0.138 eV per atom
data_Er3FeBi
_cell_length_a 5.111
_cell_length_b 5.111
_cell_length_c 5.111
_cell_angle_alpha 90.00
_cell_angle_beta 90.00
_cell_angle_gamma 90.00
_space_group_name_H-M_alt 'P m -3 m'
_space_group_IT_number 221
_space_group_name_Hall '-P 4 2 3'
loop_
_atom_site_label
_atom_site_type_symbol
_atom_site_fract_x
_atom_site_fract_y
_atom_site_fract_z
Er1 Er 0.000 0.000 0.500
Fe1 Fe 0.000 0.000 0.000
Bi1 Bi 0.500 0.500 0.500

Record 6
# Er12Fe5Bi (PBE, optimized geometry)
# Magnetization = 4.43 Bohr magnetons per cell
# Calculated formation energy = -0.152 eV/atom
data_Er12Fe5Bi
_cell_length_a 9.323
_cell_length_b 9.361
_cell_length_c 9.885
_cell_angle_alpha 90.00
_cell_angle_beta 90.00
_cell_angle_gamma 90.00
_space_group_name_H-M_alt 'I m m m'
_space_group_IT_number 71
_space_group_name_Hall '-I 2 2'
loop_
_atom_site_label
_atom_site_type_symbol
_atom_site_fract_x
_atom_site_fract_y
_atom_site_fract_z
Er1 Er 0.000 0.195 0.191
Er2 Er 0.183 0.220 0.500
Er3 Er 0.197 0.500 0.287
Fe1 Fe 0.000 0.000 0.393
Fe2 Fe 0.000 0.500 0.500
Fe3 Fe 0.116 0.000 0.000
Bi1 Bi 0.000 0.500 0.000

Record 7
# Er5Fe2Bi (PBE, optimized geometry)
# Magnetization = 0.00 Bohr magnetons per cell
# Calculated formation energy = -0.240 eV/atom
data_Er5Fe2Bi
_cell_length_a 7.300
_cell_length_b 7.300
_cell_length_c 15.096
_cell_angle_alpha 90.00
_cell_angle_beta 90.00
_cell_angle_gamma 90.00
_space_group_name_H-M_alt 'I 4/m c m'
_space_group_IT_number 140
_space_group_name_Hall '-I 4 2c'
loop_
_atom_site_label
_atom_site_type_symbol
_atom_site_fract_x
_atom_site_fract_y
_atom_site_fract_z
Er1 Er 0.000 0.000 0.000
Er2 Er 0.176 0.324 0.126
Fe1 Fe 0.108 0.392 0.500
Bi1 Bi 0.000 0.000 0.250

Record 8
# Er4FeBi (PBE, optimized geometry)
# Magnetization = 0.00 Bohr magnetons per cell
# Calculated formation energy = -0.322 eV/atom
data_Er4FeBi
_cell_length_a 8.801
_cell_length_b 13.187
_cell_length_c 5.997
_cell_angle_alpha 90.00
_cell_angle_beta 111.39
_cell_angle_gamma 90.00
_space_group_name_H-M_alt 'C 1 2/c 1'
_space_group_IT_number 15
loop_
_space_group_symop_operation_xyz
'x,y,z'
'-x,-y,-z'
'-x,y,-z+1/2'
'x,-y,z+1/2'
'x+1/2,y+1/2,z'
'-x+1/2,-y+1/2,-z'
'-x+1/2,y+1/2,-z+1/2'
'x+1/2,-y+1/2,z+1/2'
loop_
_atom_site_label
_atom_site_type_symbol
_atom_site_fract_x
_atom_site_fract_y
_atom_site_fract_z
Er1 Er 0.106 0.161 0.060
Er2 Er 0.227 0.428 0.363
Fe1 Fe 0.000 0.001 0.750
Bi1 Bi 0.000 0.372 0.750

Which formula does entry 4 have? Er6FeBi2